No. 1
Compound: CaZnGaCu6
Source: the Alexandria database
Functional: GGA-PBE
Structure: relaxed

abc: 6.771 8.861 7.408
angles: 126.73 117.19 90.00
Sites, in units of the cell vectors:
Ca 0.720 0.470 0.439
Ca 0.280 0.530 0.561
Zn 0.500 0.000 0.500
Zn 0.000 0.000 0.500
Ga 0.500 0.500 0.000
Ga 0.500 0.000 0.000
Cu 0.577 0.827 0.154
Cu 0.972 0.222 0.945
Cu 0.944 0.118 0.253
Cu 0.309 0.635 0.253
Cu 0.309 0.118 0.253
Cu 0.944 0.635 0.253
Cu 0.423 0.173 0.846
Cu 0.028 0.778 0.055
Cu 0.056 0.882 0.747
Cu 0.691 0.365 0.747
Cu 0.691 0.882 0.747
Cu 0.056 0.365 0.747

Properties
Its energy is -59.3 eV/cell. For the volume, the calculation gives 292.62 Å³/cell. The density is 6.32 Mg/m³. The calculated formation energy comes out at 0.1358 eV/atom. The size of the total moment comes out at 0.000 μB/f.u.

=====

No. 2
Compound: Ca2ZnGa3Cu4
Source: the Alexandria database
Functional: GGA-PBE
Structure: relaxed

abc: 4.216 4.216 10.132
angles: 90.00 90.00 90.00
Sites, in units of the cell vectors:
Ca 0.500 0.000 0.246
Ca 0.000 0.500 0.754
Zn 0.500 0.500 0.500
Ga 0.000 0.000 0.500
Ga 0.500 0.000 0.874
Ga 0.000 0.500 0.126
Cu 0.500 0.500 0.000
Cu 0.000 0.000 0.000
Cu 0.500 0.000 0.634
Cu 0.000 0.500 0.366

Properties
Its energy is -33.5 eV/cell. For the volume, the calculation gives 180.09 Å³/cell. The density is 5.61 Mg/m³. The calculated formation energy comes out at -0.2803 eV/atom. The size of the total moment comes out at 0.000 μB/f.u.

=====

No. 3
Compound: CaZn4GaCu2
Source: the Alexandria database
Functional: GGA-PBE
Structure: relaxed

abc: 4.222 4.222 9.413
angles: 77.04 77.04 60.00
Sites, in units of the cell vectors:
Ca 0.000 0.000 0.000
Zn 0.404 0.404 0.789
Zn 0.878 0.878 0.365
Zn 0.122 0.122 0.635
Zn 0.596 0.596 0.211
Ga 0.500 0.500 0.500
Cu 0.759 0.759 0.724
Cu 0.241 0.241 0.276

Properties
Its energy is -18.9 eV/cell. For the volume, the calculation gives 140.34 Å³/cell. The density is 5.90 Mg/m³. The calculated formation energy comes out at -0.0757 eV/atom. The size of the total moment comes out at 0.000 μB/f.u.

=====

No. 4
Compound: CaGd3Cu
Source: the Alexandria database
Functional: GGA-PBE
Structure: relaxed

abc: 5.524 5.524 5.524
angles: 90.00 90.00 90.00
Site moments in Bohr magnetons follow the coordinates.
Sites, in units of the cell vectors:
Ca 0.500 0.500 0.500  -0.07
Gd 0.000 0.500 0.000  -7.27
Gd 0.000 0.000 0.500  -7.27
Gd 0.500 0.000 0.000  -7.27
Cu 0.000 0.000 0.000  -0.08

Properties
Its energy is -47.9 eV/cell. For the volume, the calculation gives 168.61 Å³/cell. The density is 5.67 Mg/m³. The calculated formation energy comes out at 0.0911 eV/atom. The size of the total moment comes out at 23.740 μB/f.u.

=====

No. 5
Compound: CaGdCuGe
Source: the Alexandria database
Functional: GGA-PBE
Structure: relaxed

abc: 5.039 5.039 5.039
angles: 60.00 60.00 60.00
Site moments in Bohr magnetons follow the coordinates.
Sites, in units of the cell vectors:
Ge 0.250 0.250 0.250  -0.04
Gd 0.000 0.000 0.000  7.00
Ca 0.500 0.500 0.500  0.00
Cu 0.750 0.750 0.750  -0.01

Properties
Its energy is -26.6 eV/cell. For the volume, the calculation gives 90.46 Å³/cell. The density is 6.12 Mg/m³. The calculated formation energy comes out at -0.4611 eV/atom. The size of the total moment comes out at 7.050 μB/f.u.

=====

No. 6
Compound: CaGdCuHg
Source: the Alexandria database
Functional: GGA-PBE
Structure: relaxed

abc: 5.173 5.173 5.173
angles: 60.00 60.00 60.00
Site moments in Bohr magnetons follow the coordinates.
Sites, in units of the cell vectors:
Ca 0.000 0.000 0.000  0.00
Gd 0.500 0.500 0.500  7.05
Hg 0.750 0.750 0.750  0.01
Cu 0.250 0.250 0.250  0.00

Properties
Its energy is -21.7 eV/cell. For the volume, the calculation gives 97.89 Å³/cell. The density is 7.83 Mg/m³. The calculated formation energy comes out at -0.2984 eV/atom. The size of the total moment comes out at 7.236 μB/f.u.

=====

No. 7
Compound: CaGdInCu
Source: the Alexandria database
Functional: GGA-PBE
Structure: relaxed

abc: 5.234 5.234 5.234
angles: 60.00 60.00 60.00
Site moments in Bohr magnetons follow the coordinates.
Sites, in units of the cell vectors:
Ca 0.500 0.500 0.500  0.00
Gd 0.000 0.000 0.000  7.03
Cu 0.250 0.250 0.250  0.00
In 0.750 0.750 0.750  0.00

Properties
Its energy is -24.0 eV/cell. For the volume, the calculation gives 101.36 Å³/cell. The density is 6.15 Mg/m³. The calculated formation energy comes out at -0.2682 eV/atom. The size of the total moment comes out at 7.195 μB/f.u.

=====

No. 8
Compound: CaGdCuIr
Source: the Alexandria database
Functional: GGA-PBE
Structure: relaxed

abc: 4.901 4.901 4.901
angles: 60.00 60.00 60.00
Site moments in Bohr magnetons follow the coordinates.
Sites, in units of the cell vectors:
Gd 0.500 0.500 0.500  7.00
Ca 0.000 0.000 0.000  0.00
Ir 0.750 0.750 0.750  -0.06
Cu 0.250 0.250 0.250  0.00

Properties
Its energy is -30.5 eV/cell. For the volume, the calculation gives 83.25 Å³/cell. The density is 9.04 Mg/m³. The calculated formation energy comes out at -0.3676 eV/atom. The size of the total moment comes out at 7.072 μB/f.u.

=====

Q: The highest energy belongs to which entry?
A: CaZn4GaCu2

=====

Q: Which value of size of the total moment does entry 4 give?
A: 23.740 μB/f.u.

=====

Repeat the first record exactly.
Compound: CaZnGaCu6
Source: the Alexandria database
Functional: GGA-PBE
Structure: relaxed

abc: 6.771 8.861 7.408
angles: 126.73 117.19 90.00
Sites, in units of the cell vectors:
Ca 0.720 0.470 0.439
Ca 0.280 0.530 0.561
Zn 0.500 0.000 0.500
Zn 0.000 0.000 0.500
Ga 0.500 0.500 0.000
Ga 0.500 0.000 0.000
Cu 0.577 0.827 0.154
Cu 0.972 0.222 0.945
Cu 0.944 0.118 0.253
Cu 0.309 0.635 0.253
Cu 0.309 0.118 0.253
Cu 0.944 0.635 0.253
Cu 0.423 0.173 0.846
Cu 0.028 0.778 0.055
Cu 0.056 0.882 0.747
Cu 0.691 0.365 0.747
Cu 0.691 0.882 0.747
Cu 0.056 0.365 0.747

Properties
Its energy is -59.3 eV/cell. For the volume, the calculation gives 292.62 Å³/cell. The density is 6.32 Mg/m³. The calculated formation energy comes out at 0.1358 eV/atom. The size of the total moment comes out at 0.000 μB/f.u.